{"formula": "Pm5Pb2Se2", "functional": "PBE-GGA", "state": "optimized geometry", "cell": [[9.393, -3.287, 0.000], [9.393, 3.287, 0.000], [-3.007, 0.000, 8.667]], "species": ["Pm", "Pm", "Pm", "Pm", "Pm", "Pm", "Pm", "Pm", "Pm", "Pm", "Pb", "Pb", "Pb", "Pb", "Se", "Se", "Se", "Se"], "frac_coords": [[0.154, 0.154, 0.986], [0.203, 0.705, 0.719], [0.267, 0.267, 0.659], [0.295, 0.797, 0.281], [0.352, 0.352, 0.299], [0.648, 0.648, 0.701], [0.705, 0.203, 0.719], [0.733, 0.733, 0.341], [0.797, 0.295, 0.281], [0.846, 0.846, 0.014], [0.094, 0.094, 0.624], [0.394, 0.394, 0.996], [0.606, 0.606, 0.004], [0.906, 0.906, 0.376], [0.000, 0.000, 0.000], [0.200, 0.200, 0.322], [0.500, 0.500, 0.500], [0.800, 0.800, 0.678]], "formation_energy_uncorrected_ev_per_fu": -9.0, "dos_ef_per_ev_atom": 0.589, "final_energy_ev_per_fu": -47.14}


{"formula": "Pm6Si2PbSe3", "functional": "PBE-GGA", "state": "optimized geometry", "cell": [[9.358, -2.127, 0.000], [9.358, 2.127, 0.000], [-2.035, 0.000, 8.408]], "species": ["Pm", "Pm", "Pm", "Pm", "Pm", "Pm", "Si", "Si", "Pb", "Se", "Se", "Se"], "frac_coords": [[0.004, 0.004, 0.264], [0.328, 0.328, 0.903], [0.329, 0.329, 0.424], [0.671, 0.671, 0.576], [0.672, 0.672, 0.097], [0.996, 0.996, 0.736], [0.167, 0.167, 0.335], [0.833, 0.833, 0.665], [0.500, 0.500, 0.000], [0.165, 0.165, 0.832], [0.500, 0.500, 0.500], [0.835, 0.835, 0.168]], "formation_energy_uncorrected_ev_per_fu": -15.1, "dos_ef_per_ev_atom": 0.284, "final_energy_ev_per_fu": -68.58}


{"formula": "PmSn2PbSe4", "functional": "PBE-GGA", "state": "optimized geometry", "cell": [[7.344, 0.000, 0.000], [0.000, 4.363, 0.000], [-2.600, 0.000, 7.189]], "species": ["Pm", "Sn", "Sn", "Pb", "Se", "Se", "Se", "Se"], "frac_coords": [[0.000, 0.000, 0.000], [0.500, 0.000, 0.500], [0.500, 0.500, 0.000], [0.000, 0.500, 0.500], [0.247, 0.500, 0.237], [0.250, 0.000, 0.764], [0.750, 0.000, 0.236], [0.753, 0.500, 0.763]], "formation_energy_uncorrected_ev_per_fu": -6.1, "dos_ef_per_ev_atom": 0.455, "final_energy_ev_per_fu": -36.52}


{"formula": "Pm4SnPbSe2", "functional": "PBE-GGA", "state": "optimized geometry", "cell": [[7.522, 0.000, 0.000], [0.000, 4.344, 0.000], [-2.501, 0.000, 7.232]], "species": ["Pm", "Pm", "Pm", "Pm", "Sn", "Pb", "Se", "Se"], "frac_coords": [[0.244, 0.000, 0.237], [0.251, 0.500, 0.761], [0.749, 0.500, 0.239], [0.756, 0.000, 0.763], [0.000, 0.000, 0.500], [0.500, 0.500, 0.500], [0.000, 0.500, 0.000], [0.500, 0.000, 0.000]], "formation_energy_uncorrected_ev_per_fu": -9.8, "dos_ef_per_ev_atom": 0.442, "final_energy_ev_per_fu": -43.49}


{"formula": "Sr2PmPbSe4", "functional": "PBE-GGA", "state": "optimized geometry", "cell": [[7.555, 0.000, 0.000], [0.000, 4.353, 0.000], [-2.523, 0.000, 7.178]], "species": ["Sr", "Sr", "Pm", "Pb", "Se", "Se", "Se", "Se"], "frac_coords": [[0.000, 0.000, 0.000], [0.000, 0.500, 0.500], [0.500, 0.000, 0.500], [0.500, 0.500, 0.000], [0.257, 0.000, 0.745], [0.260, 0.500, 0.258], [0.740, 0.500, 0.742], [0.743, 0.000, 0.255]], "formation_energy_uncorrected_ev_per_fu": -12.6, "dos_ef_per_ev_atom": 0.407, "final_energy_ev_per_fu": -38.37}


{"formula": "SrPmPb2Se4", "functional": "PBE-GGA", "state": "optimized geometry", "cell": [[7.418, 0.000, 0.000], [0.000, 4.412, 0.000], [-2.692, 0.000, 7.352]], "species": ["Sr", "Pm", "Pb", "Pb", "Se", "Se", "Se", "Se"], "frac_coords": [[0.000, 0.000, 0.000], [0.000, 0.500, 0.500], [0.500, 0.000, 0.500], [0.500, 0.500, 0.000], [0.240, 0.000, 0.734], [0.242, 0.500, 0.261], [0.758, 0.500, 0.739], [0.760, 0.000, 0.266]], "formation_energy_uncorrected_ev_per_fu": -9.5, "dos_ef_per_ev_atom": 0.487, "final_energy_ev_per_fu": -37.28}


{"formula": "Pm6TePb2Se3", "functional": "PBE-GGA", "state": "optimized geometry", "cell": [[9.504, -2.185, 0.000], [9.504, 2.185, 0.000], [-1.958, 0.000, 8.524]], "species": ["Pm", "Pm", "Pm", "Pm", "Pm", "Pm", "Te", "Pb", "Pb", "Se", "Se", "Se"], "frac_coords": [[0.002, 0.002, 0.235], [0.329, 0.329, 0.421], [0.336, 0.336, 0.910], [0.664, 0.664, 0.090], [0.671, 0.671, 0.579], [0.998, 0.998, 0.765], [0.500, 0.500, 0.500], [0.166, 0.166, 0.832], [0.834, 0.834, 0.168], [0.165, 0.165, 0.334], [0.500, 0.500, 0.000], [0.835, 0.835, 0.666]], "formation_energy_uncorrected_ev_per_fu": -16.1, "dos_ef_per_ev_atom": 0.427, "final_energy_ev_per_fu": -65.58}


{"formula": "Pm6Te3Pb2Se", "functional": "PBE-GGA", "state": "optimized geometry", "cell": [[9.732, -2.231, 0.000], [9.732, 2.231, 0.000], [-2.112, 0.000, 8.686]], "species": ["Pm", "Pm", "Pm", "Pm", "Pm", "Pm", "Te", "Te", "Te", "Pb", "Pb", "Se"], "frac_coords": [[0.001, 0.001, 0.234], [0.333, 0.333, 0.422], [0.340, 0.340, 0.917], [0.660, 0.660, 0.083], [0.667, 0.667, 0.578], [0.999, 0.999, 0.766], [0.168, 0.168, 0.834], [0.500, 0.500, 0.500], [0.832, 0.832, 0.166], [0.166, 0.166, 0.330], [0.834, 0.834, 0.670], [0.500, 0.500, 0.000]], "formation_energy_uncorrected_ev_per_fu": -14.7, "dos_ef_per_ev_atom": 0.417, "final_energy_ev_per_fu": -63.51}


What did the seventh record say?
{"formula": "Pm6TePb2Se3", "functional": "PBE-GGA", "state": "optimized geometry", "cell": [[9.504, -2.185, 0.000], [9.504, 2.185, 0.000], [-1.958, 0.000, 8.524]], "species": ["Pm", "Pm", "Pm", "Pm", "Pm", "Pm", "Te", "Pb", "Pb", "Se", "Se", "Se"], "frac_coords": [[0.002, 0.002, 0.235], [0.329, 0.329, 0.421], [0.336, 0.336, 0.910], [0.664, 0.664, 0.090], [0.671, 0.671, 0.579], [0.998, 0.998, 0.765], [0.500, 0.500, 0.500], [0.166, 0.166, 0.832], [0.834, 0.834, 0.168], [0.165, 0.165, 0.334], [0.500, 0.500, 0.000], [0.835, 0.835, 0.666]], "formation_energy_uncorrected_ev_per_fu": -16.1, "dos_ef_per_ev_atom": 0.427, "final_energy_ev_per_fu": -65.58}